DFT (PBE-GGA) results for HgBiOs2 after structural relaxation.

Lattice parameters (Å, degrees): 4.6897 4.6897 4.6897 60.00 60.00 60.00
Fractional positions:
Hg 0.0000 0.0000 0.0000
Bi 0.5000 0.5000 0.5000
Os 0.7500 0.7500 0.7500
Os 0.2500 0.2500 0.2500

Summary:
V (Å³ per atom): 18.2
Formation enthalpy at 0 K (kJ/mol of atoms): 108.4
SG: Fm-3m, No. 225
Spin magnetization (μB/atom): 0.000
Energy above the most stable polymorph in this dataset (meV per atom): 15.1